1.
First-principles (PBE) data for crystalline ScCdGaSb2 at its relaxed geometry, as listed in the Alexandria database.

Lattice parameters (Å, degrees): 5.4557 5.4557 5.4239 90.00 90.00 90.00
Space group P4/mmm (No. 123)
One atom of each set of equivalent atoms:
Sc: 0.0000 0.0000 0.0000
Cd: 0.5000 0.5000 0.5000
Ga: 0.0000 0.0000 0.5000
Sb: 0.0000 0.5000 0.0000

Formation energy (no corrections)   199 meV/atom
Magnetization   0.00 μB per cell
Calculated total energy   -3.505 eV per atom

***

2.
First-principles (PBE) data for crystalline ScCdGa2Sb at its relaxed geometry, as listed in the Alexandria database.

Lattice parameters (Å, degrees): 5.2220 5.2220 5.4590 90.00 90.00 90.00
Space group P4/mmm (No. 123)
One atom of each set of equivalent atoms:
Sc: 0.0000 0.0000 0.0000
Cd: 0.0000 0.0000 0.5000
Ga: 0.0000 0.5000 0.0000
Sb: 0.5000 0.5000 0.5000

Formation energy (no corrections)   581 meV/atom
Magnetization   0.00 μB per cell
Calculated total energy   -2.904 eV per atom

***

3.
First-principles (PBE) data for crystalline CdGa2SbSe2 at its relaxed geometry, as listed in the Alexandria database.

Lattice parameters (Å, degrees): 12.7976 7.3810 7.4369 90.00 90.00 90.00
Space group Cmc2_1 (No. 36)
One atom of each set of equivalent atoms:
Cd: 0.0000 0.1879 0.0000
Ga: 0.1686 0.3340 0.4829
Sb: 0.0000 0.1742 0.6219
Se: 0.1814 0.3495 0.1268

Formation energy (no corrections)   -273 meV/atom
Magnetization   0.00 μB per cell
Calculated total energy   -3.283 eV per atom

***

4.
First-principles (PBE) data for crystalline TlCdGaSb2 at its relaxed geometry, as listed in the Alexandria database.

Lattice parameters (Å, degrees): 5.4336 5.4336 5.2763 90.00 90.00 90.00
Space group P4/mmm (No. 123)
One atom of each set of equivalent atoms:
Tl: 0.0000 0.0000 0.0000
Cd: 0.5000 0.5000 0.0000
Ga: 0.5000 0.5000 0.5000
Sb: 0.0000 0.5000 0.5000

Formation energy (no corrections)   311 meV/atom
Magnetization   0.00 μB per cell
Calculated total energy   -2.599 eV per atom

***

Q: What is the calculated total energy in the fourth record?
A: -2.599 eV per atom

***

Q: calculated total energy of number 1 (ScCdGaSb2)?
A: -3.505 eV per atom

***

Q: The lowest calculated total energy belongs to which entry?
A: ScCdGaSb2

***

Q: magnetization of number 4 (TlCdGaSb2)?
A: 0.00 μB per cell